The following is a DFT calculation (PBE) of KLaPd after structural relaxation.

The total moment is 0.0 μB per formula unit. The value obtained for the calculated volume is 32.60 A^3/atom.

Lattice parameters (Å, degrees): 7.3136 7.3136 7.3136 90.00 90.00 90.00
Closest atoms and distances in Å follow each position.
Space group F-43m (No. 216)
Asymmetric unit:
K (0.0000, 0.0000, 0.0000) (multiplicity 4)  4 Pd 3.17
La (0.0000, 0.0000, 0.5000) (multiplicity 4)  4 Pd 3.17
Pd (0.2500, 0.2500, 0.2500) (multiplicity 4)  4 La 3.17, 4 K 3.17



The following is a DFT calculation (PBE) of KLaPr after structural relaxation.

The total moment is 3.5 μB per formula unit. The value obtained for the calculated volume is 50.83 A^3/atom.

Lattice parameters (Å, degrees): 8.4808 8.4808 8.4808 90.00 90.00 90.00
Closest atoms and distances in Å follow each position.
Space group F-43m (No. 216)
Asymmetric unit:
K (0.0000, 0.0000, 0.0000) (multiplicity 4)  4 Pr 3.67
La (0.0000, 0.0000, 0.5000) (multiplicity 4)  4 Pr 3.67
Pr (0.2500, 0.2500, 0.2500) (multiplicity 4)  4 La 3.67, 4 K 3.67



The following is a DFT calculation (PBE) of KLaPtSe4 after structural relaxation.

The total moment is 0.0 μB per formula unit. The value obtained for the calculated volume is 28.05 A^3/atom.

Lattice parameters (Å, degrees): 6.4871 6.6868 9.5808 90.00 109.10 90.00
Closest atoms and distances in Å follow each position.
Space group P2_1 (No. 4)
Asymmetric unit:
K (0.1788, 0.0000, 0.4328) (multiplicity 2)  8 Se 3.45-3.58, 1 Pt 3.85
La (0.3213, 0.4911, 0.0468) (multiplicity 2)  6 Se 3.00-3.32, 1 Pt 3.33
Pt (0.0798, 0.9970, 0.8074) (multiplicity 2)  4 Se 2.36-2.46
Se (0.2210, 0.9951, 0.0780) (multiplicity 2)  1 Pt 2.45
Se (0.2696, 0.5018, 0.3735) (multiplicity 2)  1 Pt 2.36
Se (0.3148, 0.7297, 0.7689) (multiplicity 2)  1 Pt 2.45
Se (0.3225, 0.2586, 0.7685) (multiplicity 2)  1 Pt 2.46



The following is a DFT calculation (PBE) of KLaPtSe3 after structural relaxation.

The total moment is 0.0 μB per formula unit. The value obtained for the calculated volume is 29.87 A^3/atom.

Lattice parameters (Å, degrees): 4.2174 15.7478 10.7944 90.00 90.00 90.00
Closest atoms and distances in Å follow each position.
Space group Cmcm (No. 63)
Asymmetric unit:
K (0.0000, 0.2472, 0.2500) (multiplicity 4)  6 Se 3.34-3.35
La (0.0000, 0.0000, 0.0000) (multiplicity 4)  6 Se 3.03
Pt (0.0000, 0.4938, 0.7500) (multiplicity 4)  4 Se 2.52-2.58
Se (0.0000, 0.0880, 0.7500) (multiplicity 4)  2 Pt 2.58
Se (0.0000, 0.3769, 0.5902) (multiplicity 8)  1 Pt 2.52



The following is a DFT calculation (PBE) of KLaPu after structural relaxation.

The total moment is 8.4 μB per formula unit. The value obtained for the calculated volume is 42.93 A^3/atom.

Lattice parameters (Å, degrees): 8.0165 8.0165 8.0165 90.00 90.00 90.00
Closest atoms and distances in Å follow each position.
Space group F-43m (No. 216)
Asymmetric unit:
K (0.0000, 0.0000, 0.0000) (multiplicity 4)  4 Pu 3.47, 4 La 3.47
La (0.2500, 0.2500, 0.7500) (multiplicity 4)  4 K 3.47
Pu (0.2500, 0.2500, 0.2500) (multiplicity 4)  4 K 3.47



The following is a DFT calculation (PBE) of KLaReSe4 after structural relaxation.

The total moment is 1.1 μB per formula unit. The value obtained for the calculated volume is 29.97 A^3/atom.

Lattice parameters (Å, degrees): 6.8796 6.9564 9.2612 90.00 108.79 90.00
Closest atoms and distances in Å follow each position.
Space group P2_1 (No. 4)
Asymmetric unit:
K (0.2497, 0.0000, 0.0614) (multiplicity 2)  7 Se 3.37-3.54
La (0.2355, 0.9937, 0.5471) (multiplicity 2)  7 Se 3.02-3.13
Re (0.2425, 0.4944, 0.3251) (multiplicity 2)  4 Se 2.37-2.42
Se (0.0094, 0.7463, 0.7222) (multiplicity 2)  1 Re 2.38
Se (0.0137, 0.2457, 0.7271) (multiplicity 2)  1 Re 2.42
Se (0.4187, 0.5272, 0.1449) (multiplicity 2)  1 Re 2.37
Se (0.4270, 0.5868, 0.5849) (multiplicity 2)  1 Re 2.42



The uncorrected energy results, record by record, are as follows: -3.76, -2.54, -4.69, -4.91, -5.48, -5.54 eV/atom.